1.
# HoHgSb | Alexandria | PBE | optimized geometry
# - Electronic total energy: -3.52 eV/atom
# - Raw formation energy: -50 kJ/mol of atoms
# - DOS at the Fermi energy: 0.113 states/eV/atom
data_HoHgSb
_chemical_formula_sum 'Ho1 Hg1 Sb1'
_cell_length_a 4.6154
_cell_length_b 4.6154
_cell_length_c 4.4650
_cell_angle_alpha 90.00
_cell_angle_beta 90.00
_cell_angle_gamma 120.00
_symmetry_space_group_name_H-M 'P 3 m 1'
_symmetry_Int_Tables_number 156
loop_
_symmetry_equiv_pos_as_xyz
'x,y,z'
'-y,x-y,z'
'-x+y,-x,z'
'-y,-x,z'
'-x+y,y,z'
'x,x-y,z'
loop_
_atom_site_label
_atom_site_fract_x
_atom_site_fract_y
_atom_site_fract_z
Ho1 0.0000 0.0000 0.0000
Hg1 0.6667 0.3333 0.6939
Sb1 0.3333 0.6667 0.3852

2.
# VCd2Ga | Alexandria | PBE | optimized geometry
# - Electronic total energy: -3.05 eV/atom
# - ΔH_f (0 K): 1.78 eV per formula unit
# - DOS at the Fermi energy: 0.597 states/eV/atom
data_VCd2Ga
_chemical_formula_sum 'V4 Cd8 Ga4'
_cell_length_a 7.706
_cell_length_b 7.706
_cell_length_c 5.529
_cell_angle_alpha 90.00
_cell_angle_beta 90.00
_cell_angle_gamma 90.00
_symmetry_space_group_name_H-M 'I -4 2 d'
_symmetry_Int_Tables_number 122
_symmetry_space_group_name_Hall 'I -4 2bw'
loop_
_atom_site_label
_atom_site_fract_x
_atom_site_fract_y
_atom_site_fract_z
V1 0.000 0.000 0.000
Cd1 0.238 0.750 0.625
Ga1 0.000 0.000 0.500